1.
Here is a PBEsol-optimized structure of CsKTa2Si from Alexandria via LeMat-Bulk. Energies are from SCAN.

Summary:
space group = No. 123
E_form (uncorrected) = 1.279 eV/atom

Cell: 4.8794 4.8794 6.3203 Å, 90.00 90.00 90.00°
Closest atoms and distances in Å follow each position.
Element x y z (fractional)
Cs (0.0000, 0.0000, 0.0000)  4 K 3.45
K (0.5000, 0.5000, 0.0000)  2 Si 3.16, 4 Cs 3.45
Ta (0.0000, 0.5000, 0.5000)  2 Si 2.44
Ta (0.5000, 0.0000, 0.5000)  2 Si 2.44
Si (0.5000, 0.5000, 0.5000)  4 Ta 2.44



2.
Here is a PBEsol-optimized structure of LiZrW4 from Alexandria via LeMat-Bulk. Energies are from SCAN.

Summary:
space group = No. 216
calculated formation energy = 0.393 eV/atom

Cell: 5.3115 5.3115 5.3115 Å, 60.00 60.00 60.00°
Closest atoms and distances in Å follow each position.
Element x y z (fractional)
Li (0.0000, 0.0000, 0.0000)  12 W 3.11, 4 Zr 3.25
Zr (0.7500, 0.7500, 0.7500)  12 W 3.12, 4 Li 3.25
W (0.3744, 0.3744, 0.3744)  6 W 2.64-2.67
W (0.3744, 0.3744, 0.8768)  6 W 2.64-2.67
W (0.3744, 0.8768, 0.3744)  6 W 2.64-2.67
W (0.8768, 0.3744, 0.3744)  6 W 2.64-2.67



no.,total DFT energy (no corrections) (eV per formula unit),ρ (g cm⁻³),M_tot (Bohr magnetons per cell)
1,-182.93,6.2,3.4
2,-309.48,13.1,0.0